No. 1
The following is a DFT calculation (PBE-GGA) of SrLa4Br after structural relaxation.

Summary:
**Formation energy (no corrections)**: 3.566 kcal/mol of atoms
**Space group**: F-43m, No. 216
**V**: 238.9 Å³/f.u.

Cell: 6.9651 6.9651 6.9651 Å, 60.00 60.00 60.00°
Fractional coordinates of all 6 atoms:
Sr1 0.0000 0.0000 0.0000
La1 0.3686 0.3686 0.3686
La2 0.3686 0.3686 0.8942
La3 0.3686 0.8942 0.3686
La4 0.8942 0.3686 0.3686
Br1 0.7500 0.7500 0.7500

***

No. 2
The following is a DFT calculation (PBE-GGA) of SrLaBr2 after structural relaxation.

Summary:
**Formation energy (no corrections)**: -23.537 kcal/mol of atoms
**Energy above the most stable polymorph in this dataset**: 304 meV per atom
**Space group**: I-42d, No. 122
**V**: 172.3 Å³/f.u.

Cell: 8.5383 8.5383 8.5383 Å, 131.24 131.24 71.44°
Fractional coordinates of all 8 atoms:
Sr1 0.0000 0.0000 0.0000
Sr2 0.7500 0.2500 0.5000
La1 0.2500 0.7500 0.5000
La2 0.5000 0.5000 0.0000
Br1 0.1287 0.6250 0.0037
Br2 0.3750 0.3787 0.5037
Br3 0.6213 0.1250 0.9963
Br4 0.8750 0.8713 0.4963

***

No. 3
The following is a DFT calculation (PBE-GGA) of SrLa2Br after structural relaxation.

Summary:
**Formation energy (no corrections)**: -9.207 kcal/mol of atoms
**Energy above the most stable polymorph in this dataset**: 233 meV per atom
**Space group**: Cm, No. 8
**V**: 155.0 Å³/f.u.

Cell: 6.6962 6.6962 6.8631 Å, 110.60 110.60 32.78°
Fractional coordinates of all 4 atoms:
Sr1 0.0000 0.0000 0.0000
La1 0.1945 0.1945 0.6373
La2 0.4298 0.4298 0.4647
Br1 0.7175 0.7175 0.2565

***

No. 4
The following is a DFT calculation (PBE-GGA) of SrLa3Br after structural relaxation.

Summary:
**Formation energy (no corrections)**: -8.492 kcal/mol of atoms
**Energy above the most stable polymorph in this dataset**: 0 meV per atom
**Space group**: Pm-3m, No. 221
**V**: 199.8 Å³/f.u.

Cell: 5.8458 5.8458 5.8458 Å, 90.00 90.00 90.00°
Fractional coordinates of all 5 atoms:
Sr1 0.0000 0.0000 0.0000
La1 0.0000 0.5000 0.5000
La2 0.5000 0.0000 0.5000
La3 0.5000 0.5000 0.0000
Br1 0.5000 0.5000 0.5000

***

No. 5
The following is a DFT calculation (PBE-GGA) of SrLa2Br after structural relaxation.

Summary:
**Formation energy (no corrections)**: -11.477 kcal/mol of atoms
**Energy above the most stable polymorph in this dataset**: 134 meV per atom
**Space group**: R-3m, No. 166
**V**: 150.5 Å³/f.u.

Cell: 11.6305 11.6305 11.6305 Å, 19.32 19.32 19.32°
Fractional coordinates of all 4 atoms:
Sr1 0.0000 0.0000 0.0000
La1 0.2346 0.2346 0.2346
La2 0.7654 0.7654 0.7654
Br1 0.5000 0.5000 0.5000

***

No. 6
The following is a DFT calculation (PBE-GGA) of SrLaBr2 after structural relaxation.

Summary:
**Formation energy (no corrections)**: -27.569 kcal/mol of atoms
**Energy above the most stable polymorph in this dataset**: 130 meV per atom
**Space group**: P2/m, No. 10
**V**: 139.1 Å³/f.u.

Cell: 4.0201 4.9821 6.9526 Å, 90.00 92.75 90.00°
Fractional coordinates of all 4 atoms:
Sr1 0.0000 0.0000 0.0000
La1 0.5000 0.0000 0.5000
Br1 0.2913 0.5000 0.2503
Br2 0.7087 0.5000 0.7497